# Ac2PF, relaxed, DFT PBE
# relative energy among the computed polymorphs: 0.000 eV per atom
# space group: No. 166
# calculated total energy: -23.32 eV/f.u.
# formation energy without anion corrections: -1.96 eV/atom
data_Ac2PF
_symmetry_space_group_name_H-M 'P 1'
_symmetry_Int_Tables_number 1
_cell_length_a 4.235
_cell_length_b 4.235
_cell_length_c 20.134
_cell_angle_alpha 90.00
_cell_angle_beta 90.00
_cell_angle_gamma 120.00
loop_
_symmetry_equiv_pos_as_xyz
'x,y,z'
loop_
_atom_site_label
_atom_site_type_symbol
_atom_site_fract_x
_atom_site_fract_y
_atom_site_fract_z
_atom_site_occupancy
Ac1 Ac 0.000 0.000 0.248 1
Ac2 Ac 0.000 0.000 0.752 1
Ac3 Ac 0.333 0.667 0.419 1
Ac4 Ac 0.333 0.667 0.914 1
Ac5 Ac 0.667 0.333 0.086 1
Ac6 Ac 0.667 0.333 0.581 1
P1 P 0.000 0.000 0.000 1
P2 P 0.333 0.667 0.667 1
P3 P 0.667 0.333 0.333 1
F1 F 0.000 0.000 0.500 1
F2 F 0.333 0.667 0.167 1
F3 F 0.667 0.333 0.833 1